No. 1
Computed, not measured: crystalline Re2SiI at its relaxed geometry at the GGA-PBE level of DFT.

```
4
Lattice="3.109 -2.141 2.407 1.248 1.612 3.985 -1.162 -2.153 3.749" Properties=species:S:1:pos:R:3 pbc="T T T"
Re 0.799 -0.670 2.535
Si 0.000 0.000 0.000
I 1.598 -1.341 5.071
Re 2.397 -2.011 7.606
```

Values from the calculation:
Raw formation energy (meV per atom): 938

=====

No. 2
Computed, not measured: crystalline KYSn at its relaxed geometry at the GGA-PBE level of DFT.

```
3
Lattice="0.000 3.847 3.847 3.847 0.000 3.847 3.847 3.847 0.000" Properties=species:S:1:pos:R:3 pbc="T T T"
K 1.923 1.923 1.923
Y 5.770 5.770 5.770
Sn 3.847 3.847 3.847
```

Values from the calculation:
Formation enthalpy at 0 K (meV/atom): -75

=====

No. 3
Computed, not measured: crystalline InW at its relaxed geometry at the GGA-PBE level of DFT.

```
12
Lattice="-2.833 0.160 1.504 1.988 -2.115 3.972 3.404 12.701 5.060" Properties=species:S:1:pos:R:3 pbc="T T T"
W 0.256 -1.699 4.094
In 3.385 7.279 5.602
In 0.022 1.268 3.336
W 2.017 6.015 3.160
W 0.981 8.430 4.379
W -0.161 4.168 2.681
In 2.293 9.739 6.711
W 4.697 8.588 7.935
In 2.251 3.048 3.917
In 1.622 5.009 5.952
W 2.435 0.148 4.572
In 0.651 -0.693 1.302
```

Values from the calculation:
Formation enthalpy at 0 K (meV/atom): 687

=====

No. 4
Computed, not measured: crystalline CePm2Pd9 at its relaxed geometry at the GGA-PBE level of DFT.

```
12
Lattice="4.169 0.000 0.000 0.000 4.169 0.000 0.000 0.000 12.530" Properties=species:S:1:pos:R:3 pbc="T T T"
Ce 0.000 0.000 0.000
Pd 2.085 0.000 6.265
Pd 2.085 2.085 0.000
Pd 2.085 0.000 2.022
Pd 2.085 2.085 4.147
Pd 0.000 2.085 6.265
Pd 0.000 2.085 10.508
Pd 2.085 0.000 10.508
Pm 0.000 0.000 4.179
Pm 0.000 0.000 8.351
Pd 2.085 2.085 8.383
Pd 0.000 2.085 2.022
```

Values from the calculation:
Formation enthalpy at 0 K (meV/atom): -820

=====

Spin magnetization across the listed records, respectively: 0.00 0.00 0.00 0.00 μB per cell.
D(E_F) across the listed records, respectively: 2.1 0.0 8.0 7.0 states/eV/cell.